(1)
Here is an optimized crystal structure of ZnInRe3 from the Alexandria database. Energies are from PBE.

The structure in CIF format:
```
data_ZnInRe3
_chemical_formula_sum 'Zn1 In1 Re3'
_cell_length_a 4.538
_cell_length_b 4.538
_cell_length_c 4.538
_cell_angle_alpha 90.00
_cell_angle_beta 90.00
_cell_angle_gamma 90.00
_space_group_name_H-M_alt 'P m -3 m'
_space_group_IT_number 221
_space_group_name_Hall '-P 4 2 3'
loop_
_atom_site_label
_atom_site_type_symbol
_atom_site_fract_x
_atom_site_fract_y
_atom_site_fract_z
Zn1 Zn 0.000 0.000 0.000
In1 In 0.500 0.500 0.500
Re1 Re 0.000 0.000 0.500
```

## Properties
The value obtained for the relative energy among the computed polymorphs is 0.000 eV/atom. The magnetic moment is 0.00 Bohr magnetons per cell. The calculation puts the volume at 93 Å³ per cell. The mass density is 13.1 g cm⁻³. The calculated formation energy is 1.944 eV/atom.

=====

(2)
Here is an optimized crystal structure of K2TmAgCl6 from the Alexandria database. Energies are from PBE.

The structure in CIF format:
```
data_K2TmAgCl6
_chemical_formula_sum 'K4 Tm2 Ag2 Cl12'
_cell_length_a 7.291
_cell_length_b 7.643
_cell_length_c 12.500
_cell_angle_alpha 90.00
_cell_angle_beta 125.07
_cell_angle_gamma 90.00
_space_group_name_H-M_alt 'P 1 21/c 1'
_space_group_IT_number 14
_space_group_name_Hall '-P 2ybc'
loop_
_atom_site_label
_atom_site_type_symbol
_atom_site_fract_x
_atom_site_fract_y
_atom_site_fract_z
K1 K 0.228 0.071 0.249
Tm1 Tm 0.500 0.000 0.000
Ag1 Ag 0.000 0.000 0.500
Cl1 Cl 0.162 0.189 0.952
Cl2 Cl 0.266 0.714 0.951
Cl3 Cl 0.350 0.025 0.754
```

## Properties
The value obtained for the relative energy among the computed polymorphs is 0.000 eV/atom. The magnetic moment is 0.00 Bohr magnetons per cell. As for the energy relative to the elements, uncorrected: -1.819 eV per atom. The calculation puts the volume at 570 Å³ per cell. The mass density is 3.3 g cm⁻³.

=====

(3)
Here is an optimized crystal structure of Pm3Be2Ge3 from the Alexandria database. Energies are from PBE.

The structure in CIF format:
```
data_Pm3Be2Ge3
_chemical_formula_sum 'Pm12 Be8 Ge12'
_cell_length_a 3.969
_cell_length_b 10.966
_cell_length_c 15.222
_cell_angle_alpha 90.00
_cell_angle_beta 90.00
_cell_angle_gamma 90.00
_space_group_name_H-M_alt 'C m c m'
_space_group_IT_number 63
_space_group_name_Hall '-C 2c 2'
loop_
_atom_site_label
_atom_site_type_symbol
_atom_site_fract_x
_atom_site_fract_y
_atom_site_fract_z
Pm1 Pm 0.000 0.045 0.250
Pm2 Pm 0.000 0.351 0.092
Be1 Be 0.000 0.361 0.620
Ge1 Ge 0.000 0.080 0.059
Ge2 Ge 0.000 0.234 0.750
```

## Properties
The value obtained for the relative energy among the computed polymorphs is 0.000 eV/atom. The magnetic moment is 0.00 Bohr magnetons per cell. The calculation puts the volume at 662 Å³ per cell. The mass density is 6.7 g cm⁻³. The calculated formation energy is -0.618 eV/atom.

=====

(4)
Here is an optimized crystal structure of Ta2HgSbC from the Alexandria database. Energies are from PBE.

The structure in CIF format:
```
data_Ta2HgSbC
_chemical_formula_sum 'Ta2 Hg1 Sb1 C1'
_cell_length_a 5.283
_cell_length_b 5.283
_cell_length_c 3.798
_cell_angle_alpha 90.00
_cell_angle_beta 90.00
_cell_angle_gamma 90.00
_space_group_name_H-M_alt 'P 4/m m m'
_space_group_IT_number 123
_space_group_name_Hall '-P 4 2'
loop_
_atom_site_label
_atom_site_type_symbol
_atom_site_fract_x
_atom_site_fract_y
_atom_site_fract_z
Ta1 Ta 0.000 0.500 0.000
Hg1 Hg 0.000 0.000 0.000
Sb1 Sb 0.500 0.500 0.500
C1 C 0.000 0.000 0.500
```

## Properties
The magnetic moment is 0.00 Bohr magnetons per cell. As for the energy relative to the elements, uncorrected: 2.168 eV per atom. The calculation puts the volume at 106 Å³ per cell. The mass density is 10.9 g cm⁻³.

=====

(5)
Here is an optimized crystal structure of KPuPb2O6 from the Alexandria database. Energies are from PBE.

The structure in CIF format:
```
data_KPuPb2O6
_chemical_formula_sum 'K1 Pu1 Pb2 O6'
_cell_length_a 6.067
_cell_length_b 6.334
_cell_length_c 6.435
_cell_angle_alpha 63.86
_cell_angle_beta 63.59
_cell_angle_gamma 61.68
_space_group_name_H-M_alt 'P 1'
_space_group_IT_number 1
_space_group_name_Hall 'P 1'
loop_
_atom_site_label
_atom_site_type_symbol
_atom_site_fract_x
_atom_site_fract_y
_atom_site_fract_z
K1 K 0.000 0.000 0.000
Pu1 Pu 0.491 0.547 0.478
Pb1 Pb 0.250 0.194 0.316
Pb2 Pb 0.809 0.671 0.730
O1 O 0.165 0.825 0.619
O2 O 0.210 0.357 0.599
O3 O 0.411 0.728 0.179
O4 O 0.577 0.381 0.779
O5 O 0.694 0.783 0.389
O6 O 0.811 0.304 0.315
```

## Properties
The magnetic moment is 1.00 Bohr magnetons per cell. As for the energy relative to the elements, uncorrected: -1.795 eV per atom. The calculation puts the volume at 186 Å³ per cell. The mass density is 7.1 g cm⁻³.

=====

Q: Which formula does entry 5 have?
A: KPuPb2O6

=====

Q: Which value of magnetic moment does entry 3 give?
A: 0.00 Bohr magnetons per cell

=====

Q: Which formula does entry 5 have?
A: KPuPb2O6

=====

Q: What is the volume in the second record?
A: 570 Å³ per cell